1.
## CdSn4Rh7 (PBE-GGA)

Data for crystalline CdSn4Rh7 at its relaxed geometry.

a = 4.799 Å, b = 7.984 Å, c = 6.571 Å
α = 79.41°, β = 68.58°, γ = 72.51°
Atoms (fractional coordinates):
Rh (0.077, 0.671, 0.176)
Sn (0.722, 0.665, 0.891)
Rh (0.500, 0.000, 0.000)
Rh (0.209, 0.123, 0.459)
Rh (0.639, 0.447, 0.274)
Rh (0.361, 0.553, 0.726)
Sn (0.278, 0.335, 0.109)
Cd (0.000, 0.000, 0.000)
Rh (0.923, 0.329, 0.824)
Sn (0.583, 0.216, 0.619)
Rh (0.791, 0.877, 0.541)
Sn (0.417, 0.784, 0.381)

Computed properties:
* calculated total energy: -69.862 eV/cell



2.
## Cd3SnRh4 (PBE-GGA)

Data for crystalline Cd3SnRh4 at its relaxed geometry.

a = 4.557 Å, b = 6.473 Å, c = 9.115 Å
α = 90.00°, β = 90.00°, γ = 90.00°
Atoms (fractional coordinates):
Cd (0.500, 0.000, 0.750)
Sn (0.000, 0.500, 0.500)
Cd (0.000, 0.000, 0.000)
Rh (0.000, 0.259, 0.750)
Rh (0.000, 0.259, 0.250)
Rh (0.000, 0.741, 0.250)
Cd (0.000, 0.000, 0.500)
Cd (0.500, 0.000, 0.250)
Rh (0.500, 0.741, 0.500)
Cd (0.500, 0.500, 0.250)
Rh (0.500, 0.259, 0.000)
Rh (0.500, 0.741, 0.000)
Rh (0.000, 0.741, 0.750)
Sn (0.000, 0.500, 0.000)
Rh (0.500, 0.259, 0.500)
Cd (0.500, 0.500, 0.750)

Computed properties:
* calculated total energy: -76.478 eV/cell



no.,DOS(E_F) (states/eV/f.u.),formation energy from the elements (eV per atom),mass density (g/cm3)
1,6.3,-0.1229,9.7
2,3.9,-0.2606,10.7